## HfSiGe (PBE)

Data for a relaxed structure of HfSiGe.

Results
The value obtained for the density of states at the Fermi level is 2.834 states/eV per cell. The uncorrected formation energy comes out at -0.088 eV per atom. The calculation puts the offset from the most stable computed form at 422.1 meV per atom. The total magnetization is 0.0 μB per formula unit.

```
HfSiGe
1.0
-1.0536 -0.5386 -2.5449
1.2269 -4.4339 0.4305
-4.1668 1.3934 1.4302
Hf Ge Si
1 1 1
direct
0.3328 0.6667 0.3333
0.8341 0.3333 0.6667
0.8331 0.0000 0.0000
```



## CoMo8 (PBE)

Data for a relaxed structure of CoMo8.

Results
The value obtained for the density of states at the Fermi level is 7.929 states/eV per cell. The total magnetization is 2.7 μB per formula unit. The formation energy is 0.08 eV/atom.

```
CoMo8
1.0
-4.6946 4.6946 1.5774
4.6946 -4.6946 1.5774
4.6946 4.6946 -1.5774
Mo Co
8 1
direct
0.0000 0.6699 0.6699
0.3346 0.6654 0.0000
0.6654 0.6654 0.3308
0.3346 0.3346 0.6692
0.0000 0.3301 0.3301
0.6699 0.0000 0.6699
0.3301 0.0000 0.3301
0.6654 0.3346 0.0000
0.0000 0.0000 0.0000
```



Copy entry 1 word for word.
## HfSiGe (PBE)

Data for a relaxed structure of HfSiGe.

Results
The value obtained for the density of states at the Fermi level is 2.834 states/eV per cell. The uncorrected formation energy comes out at -0.088 eV per atom. The calculation puts the offset from the most stable computed form at 422.1 meV per atom. The total magnetization is 0.0 μB per formula unit.

```
HfSiGe
1.0
-1.0536 -0.5386 -2.5449
1.2269 -4.4339 0.4305
-4.1668 1.3934 1.4302
Hf Ge Si
1 1 1
direct
0.3328 0.6667 0.3333
0.8341 0.3333 0.6667
0.8331 0.0000 0.0000
```